Below is an optimized crystal structure of Ba2In4Hg3Bi, with properties calculated at the PBE-GGA level.

## Properties
- ΔE_f: -0.364 eV per atom
- Uncorrected energy: -2.3225 eV/atom

```
Ba2In4Hg3Bi
1.0
5.086 0.000 0.000
0.000 5.086 0.000
0.000 0.000 12.126
Hg In Bi Ba
3 4 1 2
Direct
0.500 0.000 0.874
0.000 0.500 0.126
0.000 0.000 0.500
0.500 0.500 0.000
0.000 0.500 0.359
0.500 0.000 0.641
0.000 0.000 0.000
0.500 0.500 0.500
0.500 0.000 0.245
0.000 0.500 0.755
```